{"formula": "ScZn3Br9", "functional": "PBE", "state": "relaxed", "cell": [[-3.6884, 7.2203, 4.6146], [-0.8771, -0.9019, 10.1401], [7.6883, 7.2194, 4.2794]], "species": ["Br", "Zn", "Br", "Br", "Br", "Zn", "Br", "Br", "Zn", "Sc", "Br", "Br", "Br", "Br", "Br", "Br", "Br", "Br", "Br", "Br", "Zn", "Br", "Zn", "Br", "Sc", "Zn"], "fractional_positions": [[0.7336, 0.4034, 0.5982], [0.2296, 0.4451, 0.3301], [0.9413, 0.2967, 0.1987], [0.2649, 0.9034, 0.0982], [0.7272, 0.7445, 0.0611], [0.9577, 0.0575, 0.1741], [0.3467, 0.2935, 0.9335], [0.7865, 0.9903, 0.7320], [0.8106, 0.5575, 0.6741], [0.4728, 0.0009, 0.5077], [0.8043, 0.9366, 0.3722], [0.5633, 0.7967, 0.6987], [0.8201, 0.0784, 0.0247], [0.3301, 0.1792, 0.3298], [0.4672, 0.2445, 0.5611], [0.8869, 0.4366, 0.8722], [0.4913, 0.4903, 0.2320], [0.1609, 0.6792, 0.8298], [0.4263, 0.7935, 0.4335], [0.1650, 0.0874, 0.6909], [0.9952, 0.9451, 0.8301], [0.0768, 0.5784, 0.5247], [0.5783, 0.2440, 0.7249], [0.0567, 0.5874, 0.1909], [0.0186, 0.5009, 0.0077], [0.4528, 0.7440, 0.2249]], "formation_energy_uncorrected_ev_per_fu": -13.8, "dft_energy_ev_per_atom": -3.003, "mass_density_g_cm3": 3.6, "vol_a3_per_atom": 33.732}

=====

{"formula": "Sc2ZnBr", "functional": "PBE", "state": "relaxed", "cell": [[-0.2967, 3.2073, -1.0653], [-5.0789, 0.3712, 2.5321], [2.0459, 1.4803, 3.8867]], "species": ["Zn", "Sc", "Sc", "Br"], "fractional_positions": [[0.5000, 0.0000, 0.5000], [0.5000, 0.5000, 0.0000], [0.0000, 0.0000, 0.0000], [0.0000, 0.5000, 0.5000]], "formation_energy_uncorrected_ev_per_fu": -0.9, "de_polymorph_mev_per_atom": 332.2, "dft_energy_ev_per_atom": -4.124, "mass_density_g_cm3": 4.4, "vol_a3_per_atom": 22.357}

=====

{"formula": "Sc4ZnBr", "functional": "PBE", "state": "relaxed", "cell": [[0.0000, 4.1922, 4.1922], [4.1922, 0.0000, 4.1922], [4.1922, 4.1922, 0.0000]], "species": ["Sc", "Sc", "Sc", "Sc", "Zn", "Br"], "fractional_positions": [[0.3771, 0.8686, 0.3771], [0.3771, 0.3771, 0.8686], [0.3771, 0.3771, 0.3771], [0.8686, 0.3771, 0.3771], [0.7500, 0.7500, 0.7500], [0.0000, 0.0000, 0.0000]], "formation_energy_uncorrected_ev_per_fu": 1.9, "dft_energy_ev_per_atom": -4.390, "mass_density_g_cm3": 3.7, "vol_a3_per_atom": 24.559}

=====

{"formula": "ZrScBr2", "functional": "PBE", "state": "relaxed", "cell": [[-7.1044, 2.3233, -5.6165], [-5.7820, -0.2629, -7.3427], [-7.9615, -0.8485, -4.8280]], "species": ["Br", "Zr", "Br", "Sc"], "fractional_positions": [[0.0060, 0.0060, 0.0060], [0.7500, 0.7500, 0.7500], [0.4940, 0.4940, 0.4940], [0.2500, 0.2500, 0.2500]], "formation_energy_uncorrected_ev_per_fu": -2.2, "de_polymorph_mev_per_atom": 514.1, "dft_energy_ev_per_atom": -5.094, "mass_density_g_cm3": 5.4, "vol_a3_per_atom": 22.602}

=====

{"formula": "ZrScBr2", "functional": "PBE", "state": "relaxed", "cell": [[-1.0360, 1.1916, 9.4996], [2.3044, 0.5486, 9.3341], [1.1509, 3.7102, 8.8117]], "species": ["Sc", "Br", "Br", "Zr"], "fractional_positions": [[0.5000, 0.5000, 0.5000], [0.9010, 0.9010, 0.9010], [0.0990, 0.0990, 0.0990], [0.0000, 0.0000, 0.0000]], "formation_energy_uncorrected_ev_per_fu": -2.6, "de_polymorph_mev_per_atom": 409.6, "dft_energy_ev_per_atom": -5.199, "mass_density_g_cm3": 5.2, "vol_a3_per_atom": 23.674}

=====

{"formula": "ZrScBr2", "functional": "PBE", "state": "relaxed", "cell": [[5.8129, -0.0031, 0.0068], [1.6562, 5.5719, -0.0068], [-2.5834, -4.3283, 2.8951]], "species": ["Br", "Br", "Zr", "Sc"], "fractional_positions": [[0.4967, 0.4967, 0.0000], [0.0033, 0.0033, 0.0000], [0.2500, 0.7500, 0.5000], [0.7500, 0.2500, 0.5000]], "formation_energy_uncorrected_ev_per_fu": -2.0, "de_polymorph_mev_per_atom": 541.8, "dft_energy_ev_per_atom": -5.067, "mass_density_g_cm3": 5.2, "vol_a3_per_atom": 23.415}